# PrAl3Pt2 PBE optimized geometry
# * total moment: 0.0 μB per formula unit
# * ΔE_f: -1.023 eV per atom
data_PrAl3Pt2
_chemical_formula_sum 'Pr3 Al9 Pt6'
_cell_length_a 4.2253
_cell_length_b 8.6041
_cell_length_c 10.1453
_cell_angle_alpha 107.20
_cell_angle_beta 90.00
_cell_angle_gamma 104.21
_symmetry_space_group_name_H-M 'P 1'
_symmetry_Int_Tables_number 1
_symmetry_space_group_name_Hall 'P 1'
loop_
_atom_site_label
_atom_site_type_symbol
_atom_site_fract_x
_atom_site_fract_y
_atom_site_fract_z
_atom_site_occupancy
Al1 Al 0.3265 0.6530 0.0356 1
Al2 Al 0.2150 0.4300 0.3912 1
Al3 Al 0.6307 0.2615 0.2020 1
Al4 Al 0.6735 0.3470 0.9644 1
Al5 Al 0.0435 0.0870 0.3567 1
Al6 Al 0.7850 0.5700 0.6088 1
Al7 Al 0.5000 0.0000 0.5000 1
Al8 Al 0.9565 0.9130 0.6433 1
Al9 Al 0.3693 0.7385 0.7980 1
Pr1 Pr 0.0000 0.0000 0.0000 1
Pr2 Pr 0.1568 0.3135 0.7061 1
Pr3 Pr 0.8432 0.6865 0.2939 1
Pt1 Pt 0.4759 0.9519 0.2223 1
Pt2 Pt 0.3602 0.7205 0.5498 1
Pt3 Pt 0.5241 0.0481 0.7777 1
Pt4 Pt 0.1971 0.3941 0.1275 1
Pt5 Pt 0.8029 0.6059 0.8725 1
Pt6 Pt 0.6398 0.2795 0.4502 1